(1)
A plane-wave DFT calculation with PBE was carried out for a geometry-optimized CuBi3Au structure.

Values from the calculation:
- relative energy among the computed polymorphs (meV per atom) = 0.0
- SG = Pm-3m, No. 221

abc: 5.221 5.221 5.221
angles: 90.00 90.00 90.00
Fractional positions:
Bi 0.000 0.500 0.000
Bi 0.000 0.000 0.500
Bi 0.500 0.000 0.000
Cu 0.000 0.000 0.000
Au 0.500 0.500 0.500

(2)
A plane-wave DFT calculation with PBE was carried out for a geometry-optimized CuBiAu structure.

Values from the calculation:
- relative energy among the computed polymorphs (meV per atom) = 20.6
- SG = Cmce, No. 64

abc: 5.787 6.978 6.776
angles: 90.00 90.00 114.50
Fractional positions:
Au 0.214 0.928 0.750
Au 0.786 0.072 0.250
Au 0.714 0.928 0.750
Au 0.286 0.072 0.250
Bi 0.674 0.347 0.950
Bi 0.326 0.653 0.050
Bi 0.174 0.347 0.550
Bi 0.826 0.653 0.450
Cu 0.610 0.220 0.549
Cu 0.890 0.780 0.049
Cu 0.390 0.780 0.451
Cu 0.110 0.220 0.951

(3)
A plane-wave DFT calculation with PBE was carried out for a geometry-optimized CuBiAu structure.

Values from the calculation:
- relative energy among the computed polymorphs (meV per atom) = 99.8
- SG = P3m1, No. 156

abc: 3.633 4.475 4.475
angles: 120.00 90.00 90.00
Fractional positions:
Au 0.160 0.000 0.000
Cu 0.176 0.333 0.667
Bi 0.664 0.667 0.333

(4)
A plane-wave DFT calculation with PBE was carried out for a geometry-optimized CuBiAu6 structure.

Values from the calculation:
- SG = P4/mmm, No. 123

abc: 4.013 4.013 10.236
angles: 90.00 90.00 90.00
Fractional positions:
Au 0.500 0.000 0.665
Au 0.000 0.500 0.335
Au 0.500 0.500 0.135
Au 0.500 0.000 0.335
Au 0.500 0.500 0.865
Au 0.000 0.500 0.665
Cu 0.000 0.000 0.500
Bi 0.000 0.000 0.000

(5)
A plane-wave DFT calculation with PBE was carried out for a geometry-optimized Cu3BiAu3 structure.

Values from the calculation:
- SG = Pm-3n, No. 223

abc: 6.901 6.901 6.901
angles: 90.00 90.00 90.00
Fractional positions:
Cu 0.250 0.000 0.500
Cu 0.500 0.750 0.000
Cu 0.750 0.000 0.500
Cu 0.000 0.500 0.250
Cu 0.000 0.500 0.750
Cu 0.500 0.250 0.000
Au 0.750 0.500 0.000
Au 0.000 0.250 0.500
Au 0.500 0.000 0.750
Au 0.500 0.000 0.250
Au 0.250 0.500 0.000
Au 0.000 0.750 0.500
Bi 0.000 0.000 0.000
Bi 0.500 0.500 0.500

(6)
A plane-wave DFT calculation with PBE was carried out for a geometry-optimized CuBiAu2 structure.

Values from the calculation:
- SG = R3m, No. 160

abc: 4.359 4.359 5.719
angles: 67.60 67.60 60.00
Fractional positions:
Au 0.054 0.054 0.839
Au 0.277 0.277 0.168
Cu 0.676 0.676 0.972
Bi 0.493 0.493 0.521

Result set for ΔE_f: 0.4948, 0.0485, 0.1277, 0.0731, 0.5638, 0.0553 eV per atom, one per record in the order listed.